# Cu4SnP10

A relaxed Cu4SnP10 crystal (GGA-PBEsol, Alexandria via LeMat-Bulk).

## Properties
The value obtained for the size of the total moment is 0.00 μB per cell. The energy of formation is -12.07 kJ/mol of atoms.

```
data_Cu4SnP10
_chemical_formula_sum 'Cu12 Sn3 P30'
_cell_length_a 7.1804
_cell_length_b 7.1804
_cell_length_c 17.6420
_cell_angle_alpha 90.00
_cell_angle_beta 90.00
_cell_angle_gamma 120.00
_space_group_name_H-M_alt 'R 3 m'
_space_group_IT_number 160
_space_group_name_Hall 'R 3 -2"'
loop_
_atom_site_label
_atom_site_type_symbol
_atom_site_fract_x
_atom_site_fract_y
_atom_site_fract_z
_atom_site_occupancy
Cu1 Cu 0.0000 0.0000 0.0000 1
Cu2 Cu 0.0179 0.5090 0.1289 1
Sn1 Sn 0.0000 0.0000 0.5742 1
P1 P 0.0000 0.0000 0.1262 1
P2 P 0.0094 0.5047 0.0021 1
P3 P 0.1681 0.3362 0.8333 1
P4 P 0.1678 0.3355 0.9567 1
```